DFT (PBE) results for Th4SnTeAs2 after structural relaxation.

Values from the calculation:
Its space-group type is P2/m, No. 10. The uncorrected formation energy comes out at -1.099 eV/atom. For the calculated volume, the calculation gives 237.9 Å³ per cell.

a = 4.356 Å, b = 7.667 Å, c = 7.543 Å
α = 70.85°, β = 90.00°, γ = 90.00°
Fractional coordinates of all 8 atoms:
Sn (0.000, 0.500, 0.500)
As (0.000, 0.000, 0.000)
As (0.500, 0.000, 0.500)
Th (0.000, 0.779, 0.735)
Th (0.500, 0.774, 0.247)
Th (0.500, 0.226, 0.753)
Th (0.000, 0.221, 0.265)
Te (0.500, 0.500, 0.000)


DFT (PBE) results for TlSn2TeAs after structural relaxation.

Values from the calculation:
Its space-group type is P2_1/m, No. 11. The uncorrected formation energy comes out at -0.075 eV/atom. For the calculated volume, the calculation gives 364.7 Å³ per cell.

a = 4.191 Å, b = 7.460 Å, c = 12.790 Å
α = 114.22°, β = 90.00°, γ = 90.00°
Fractional coordinates of all 10 atoms:
Sn (0.250, 0.403, 0.852)
Sn (0.750, 0.624, 0.662)
Sn (0.750, 0.597, 0.148)
Sn (0.250, 0.376, 0.338)
Tl (0.750, 0.080, 0.893)
Tl (0.250, 0.920, 0.107)
Te (0.750, 0.676, 0.415)
Te (0.250, 0.324, 0.585)
As (0.750, 0.667, 0.912)
As (0.250, 0.333, 0.088)


DFT (PBE) results for TlSnTe3As after structural relaxation.

Values from the calculation:
Its space-group type is P2_1/m, No. 11. The uncorrected formation energy comes out at -0.152 eV/atom. For the calculated volume, the calculation gives 422.3 Å³ per cell.

a = 4.346 Å, b = 8.767 Å, c = 11.528 Å
α = 106.00°, β = 90.00°, γ = 90.00°
Fractional coordinates of all 12 atoms:
Te (0.250, 0.667, 0.428)
Te (0.750, 0.333, 0.572)
Te (0.750, 0.375, 0.121)
Te (0.250, 0.091, 0.780)
Te (0.750, 0.909, 0.220)
Te (0.250, 0.625, 0.879)
Tl (0.750, 0.761, 0.707)
Tl (0.250, 0.239, 0.293)
As (0.250, 0.134, 0.565)
As (0.750, 0.866, 0.435)
Sn (0.750, 0.366, 0.852)
Sn (0.250, 0.634, 0.148)


DFT (PBE) results for Tm8SnTe4As3 after structural relaxation.

Values from the calculation:
Its space-group type is R-3m, No. 166. The uncorrected formation energy comes out at -1.307 eV/atom. For the calculated volume, the calculation gives 428.0 Å³ per cell.

a = 8.407 Å, b = 8.513 Å, c = 8.407 Å
α = 119.59°, β = 120.00°, γ = 90.00°
Fractional coordinates of all 16 atoms:
Te (0.000, 0.000, 0.500)
Te (0.500, 0.000, 0.500)
Te (0.500, 0.000, 0.000)
Te (0.000, 0.000, 0.000)
Sn (0.000, 0.500, 0.000)
Tm (0.733, 0.723, 0.978)
Tm (0.755, 0.277, 0.022)
Tm (0.267, 0.277, 0.022)
Tm (0.755, 0.277, 0.510)
Tm (0.261, 0.284, 0.523)
Tm (0.245, 0.723, 0.490)
Tm (0.739, 0.716, 0.477)
Tm (0.245, 0.723, 0.978)
As (0.000, 0.500, 0.500)
As (0.500, 0.500, 0.500)
As (0.500, 0.500, 0.000)


DFT (PBE) results for Tm4SnTe2As after structural relaxation.

Values from the calculation:
Its space-group type is P2/m, No. 10. The uncorrected formation energy comes out at -1.196 eV/atom. For the calculated volume, the calculation gives 220.1 Å³ per cell.

a = 4.250 Å, b = 7.382 Å, c = 7.428 Å
α = 109.19°, β = 90.00°, γ = 90.00°
Fractional coordinates of all 8 atoms:
Tm (0.500, 0.766, 0.777)
Tm (0.500, 0.234, 0.223)
Tm (0.000, 0.250, 0.770)
Tm (0.000, 0.750, 0.230)
As (0.000, 0.000, 0.000)
Te (0.500, 0.000, 0.500)
Te (0.000, 0.500, 0.500)
Sn (0.500, 0.500, 0.000)


DFT (PBE) results for Tm6SnTe3As2 after structural relaxation.

Values from the calculation:
Its space-group type is C2/m, No. 12. The uncorrected formation energy comes out at -1.270 eV/atom. For the calculated volume, the calculation gives 324.1 Å³ per cell.

a = 4.212 Å, b = 8.549 Å, c = 9.514 Å
α = 103.74°, β = 102.79°, γ = 90.00°
Fractional coordinates of all 12 atoms:
As (0.168, 0.337, 0.336)
As (0.832, 0.663, 0.664)
Sn (0.500, 0.000, 0.000)
Tm (0.675, 0.567, 0.350)
Tm (0.991, 0.754, 0.982)
Tm (0.009, 0.246, 0.018)
Tm (0.665, 0.108, 0.330)
Tm (0.335, 0.892, 0.670)
Tm (0.325, 0.433, 0.650)
Te (0.835, 0.167, 0.669)
Te (0.500, 0.500, 0.000)
Te (0.165, 0.833, 0.331)


DFT (PBE) results for SnTe2AsW after structural relaxation.

Values from the calculation:
Its space-group type is P4/mmm, No. 123. The uncorrected formation energy comes out at 1.722 eV/atom. For the calculated volume, the calculation gives 168.3 Å³ per cell.

a = 5.632 Å, b = 5.308 Å, c = 5.632 Å
α = 90.00°, β = 90.00°, γ = 90.00°
Each line ends with the local moment (μB).
Fractional coordinates of all 5 atoms:
W (0.000, 0.500, 0.000)  2.68
Sn (0.000, 0.000, 0.000)  -0.05
Te (0.500, 0.000, 0.000)  0.01
Te (0.000, 0.000, 0.500)  0.01
As (0.500, 0.500, 0.500)  -0.41


DFT (PBE) results for Y4SnTe2As after structural relaxation.

Values from the calculation:
Its space-group type is P2/m, No. 10. The uncorrected formation energy comes out at -1.293 eV/atom. For the calculated volume, the calculation gives 229.3 Å³ per cell.

a = 4.306 Å, b = 7.481 Å, c = 7.536 Å
α = 109.19°, β = 90.00°, γ = 90.00°
Fractional coordinates of all 8 atoms:
Sn (0.500, 0.500, 0.000)
As (0.000, 0.000, 0.000)
Y (0.000, 0.751, 0.232)
Y (0.500, 0.235, 0.224)
Y (0.000, 0.249, 0.768)
Y (0.500, 0.765, 0.776)
Te (0.000, 0.500, 0.500)
Te (0.500, 0.000, 0.500)


DFT (PBE) results for Y6SnTe3As2 after structural relaxation.

Values from the calculation:
Its space-group type is C2/m, No. 12. The uncorrected formation energy comes out at -1.365 eV/atom. For the calculated volume, the calculation gives 338.0 Å³ per cell.

a = 4.270 Å, b = 8.674 Å, c = 9.651 Å
α = 103.83°, β = 102.78°, γ = 90.00°
Fractional coordinates of all 12 atoms:
As (0.832, 0.663, 0.664)
As (0.168, 0.337, 0.336)
Te (0.165, 0.833, 0.331)
Te (0.835, 0.167, 0.669)
Te (0.500, 0.500, 0.000)
Y (0.992, 0.753, 0.983)
Y (0.008, 0.247, 0.017)
Y (0.335, 0.893, 0.669)
Y (0.665, 0.107, 0.331)
Y (0.325, 0.433, 0.651)
Y (0.675, 0.567, 0.349)
Sn (0.500, 0.000, 0.000)


DFT (PBE) results for Y8SnTe4As3 after structural relaxation.

Values from the calculation:
Its space-group type is R-3m, No. 166. The uncorrected formation energy comes out at -1.401 eV/atom. For the calculated volume, the calculation gives 446.7 Å³ per cell.

a = 8.523 Å, b = 8.639 Å, c = 8.523 Å
α = 119.56°, β = 120.00°, γ = 90.00°
Fractional coordinates of all 16 atoms:
As (0.500, 0.500, 0.500)
As (0.000, 0.500, 0.500)
As (0.500, 0.500, 0.000)
Sn (0.000, 0.500, 0.000)
Y (0.739, 0.717, 0.478)
Y (0.245, 0.724, 0.979)
Y (0.755, 0.276, 0.509)
Y (0.267, 0.276, 0.021)
Y (0.755, 0.276, 0.021)
Y (0.733, 0.724, 0.979)
Y (0.245, 0.724, 0.491)
Y (0.261, 0.283, 0.522)
Te (0.500, 0.000, 0.500)
Te (0.000, 0.000, 0.000)
Te (0.000, 0.000, 0.500)
Te (0.500, 0.000, 0.000)


DFT (PBE) results for Th3SnAs2 after structural relaxation.

Values from the calculation:
The formation energy is -617 kJ/mol of formula units. Its space-group type is Immm, No. 71. For the calculated volume, the calculation gives 174.5 Å³ per cell.

a = 4.342 Å, b = 6.158 Å, c = 7.535 Å
α = 114.12°, β = 106.74°, γ = 90.00°
Fractional coordinates of all 6 atoms:
As (0.336, 0.836, 0.673)
As (0.664, 0.164, 0.327)
Th (0.000, 0.000, 0.000)
Th (0.323, 0.323, 0.646)
Th (0.677, 0.677, 0.354)
Sn (0.000, 0.500, 0.000)


DFT (PBE) results for ThSnAs2 after structural relaxation.

Values from the calculation:
Its excess energy over the best structure of this formula in the dataset is 0.0000 eV per atom. The formation energy is -270 kJ/mol of formula units. Its space-group type is P4/mmm, No. 123. For the calculated volume, the calculation gives 92.6 Å³ per cell.

a = 3.909 Å, b = 4.866 Å, c = 4.866 Å
α = 90.00°, β = 90.00°, γ = 90.00°
Fractional coordinates of all 4 atoms:
As (0.000, 0.000, 0.500)
As (0.000, 0.500, 0.000)
Th (0.500, 0.500, 0.500)
Sn (0.500, 0.000, 0.000)


DFT (PBE) results for Th6SnAs5 after structural relaxation.

Values from the calculation:
The formation energy is -1418 kJ/mol of formula units. Its space-group type is C2/m, No. 12. For the calculated volume, the calculation gives 337.7 Å³ per cell.

a = 7.450 Å, b = 7.450 Å, c = 7.454 Å
α = 99.60°, β = 99.60°, γ = 120.02°
Fractional coordinates of all 12 atoms:
As (0.500, 0.500, 0.500)
As (0.667, 0.333, 0.000)
As (0.838, 0.162, 0.500)
As (0.162, 0.838, 0.500)
As (0.333, 0.667, 0.000)
Th (0.741, 0.741, 0.255)
Th (0.086, 0.429, 0.257)
Th (0.571, 0.914, 0.743)
Th (0.259, 0.259, 0.745)
Th (0.914, 0.571, 0.743)
Th (0.429, 0.086, 0.257)
Sn (0.000, 0.000, 0.000)


DFT (PBE) results for ThSnAs2 after structural relaxation.

Values from the calculation:
Its excess energy over the best structure of this formula in the dataset is 0.8595 eV per atom. The formation energy is 62 kJ/mol of formula units. Its space-group type is R-3m, No. 166. For the calculated volume, the calculation gives 117.5 Å³ per cell.

a = 3.862 Å, b = 3.862 Å, c = 9.369 Å
α = 78.11°, β = 78.11°, γ = 60.00°
Fractional coordinates of all 4 atoms:
As (0.106, 0.106, 0.683)
As (0.894, 0.894, 0.317)
Th (0.000, 0.000, 0.000)
Sn (0.500, 0.500, 0.500)


DFT (PBE) results for Th5SnAs4 after structural relaxation.

Values from the calculation:
The formation energy is -1153 kJ/mol of formula units. Its space-group type is C2/m, No. 12. For the calculated volume, the calculation gives 283.1 Å³ per cell.

a = 4.305 Å, b = 7.466 Å, c = 9.645 Å
α = 75.10°, β = 77.10°, γ = 73.24°
Fractional coordinates of all 10 atoms:
Th (0.000, 0.500, 0.500)
Th (0.393, 0.319, 0.894)
Th (0.607, 0.681, 0.106)
Th (0.203, 0.904, 0.690)
Th (0.797, 0.096, 0.310)
As (0.404, 0.795, 0.398)
As (0.596, 0.205, 0.602)
As (0.203, 0.390, 0.204)
As (0.797, 0.610, 0.796)
Sn (0.000, 0.000, 0.000)


DFT (PBE) results for TiSnAs2 after structural relaxation.

Values from the calculation:
The formation energy is -129 kJ/mol of formula units. Its space-group type is R3m, No. 160. For the calculated volume, the calculation gives 85.9 Å³ per cell.

a = 3.688 Å, b = 3.688 Å, c = 7.601 Å
α = 75.96°, β = 75.96°, γ = 60.00°
Fractional coordinates of all 4 atoms:
Sn (0.504, 0.504, 0.488)
As (0.262, 0.262, 0.215)
As (0.068, 0.068, 0.797)
Ti (0.667, 0.667, 0.999)


DFT (PBE) results for Ti5Sn2As after structural relaxation.

Values from the calculation:
The formation energy is -356 kJ/mol of formula units. Its space-group type is Pbam, No. 55. For the calculated volume, the calculation gives 297.0 Å³ per cell.

a = 4.032 Å, b = 6.961 Å, c = 10.581 Å
α = 90.00°, β = 90.00°, γ = 90.00°
Fractional coordinates of all 16 atoms:
Ti (0.000, 0.642, 0.714)
Ti (0.500, 0.792, 0.936)
Ti (0.000, 0.142, 0.786)
Ti (0.500, 0.708, 0.436)
Ti (0.500, 0.292, 0.564)
Ti (0.500, 0.208, 0.064)
Ti (0.000, 0.858, 0.214)
Ti (0.000, 0.000, 0.500)
Ti (0.000, 0.358, 0.286)
Ti (0.000, 0.500, 0.000)
Sn (0.500, 0.083, 0.322)
Sn (0.500, 0.417, 0.822)
Sn (0.500, 0.583, 0.178)
Sn (0.500, 0.917, 0.678)
As (0.000, 0.000, 0.000)
As (0.000, 0.500, 0.500)


DFT (PBE) results for TiSn2As after structural relaxation.

Values from the calculation:
The formation energy is 164 kJ/mol of formula units. Its space-group type is I-42d, No. 122. For the calculated volume, the calculation gives 252.3 Å³ per cell.

a = 6.542 Å, b = 6.542 Å, c = 7.492 Å
α = 64.11°, β = 64.11°, γ = 90.00°
Fractional coordinates of all 8 atoms:
Sn (0.375, 0.368, 0.750)
Sn (0.118, 0.625, 0.250)
Sn (0.632, 0.125, 0.250)
Sn (0.875, 0.882, 0.750)
As (0.000, 0.000, 0.000)
As (0.750, 0.250, 0.500)
Ti (0.250, 0.750, 0.500)
Ti (0.500, 0.500, 0.000)


DFT (PBE) results for Ti2Sn2As after structural relaxation.

Values from the calculation:
Its excess energy over the best structure of this formula in the dataset is 0.6991 eV per atom. The formation energy is 169 kJ/mol of formula units. Its space-group type is I4/mmm, No. 139. For the calculated volume, the calculation gives 108.5 Å³ per cell.

a = 3.876 Å, b = 3.876 Å, c = 7.729 Å
α = 75.48°, β = 75.48°, γ = 90.00°
Fractional coordinates of all 5 atoms:
Ti (0.750, 0.250, 0.500)
Ti (0.250, 0.750, 0.500)
Sn (0.600, 0.600, 0.801)
Sn (0.400, 0.400, 0.199)
As (0.000, 0.000, 0.000)


DFT (PBE) results for TiSnAs after structural relaxation.

Values from the calculation:
The formation energy is -11 kJ/mol of formula units. Its space-group type is P2_13, No. 198. For the calculated volume, the calculation gives 282.9 Å³ per cell.

a = 6.565 Å, b = 6.565 Å, c = 6.565 Å
α = 90.00°, β = 90.00°, γ = 90.00°
Fractional coordinates of all 12 atoms:
Sn (0.897, 0.103, 0.603)
Sn (0.397, 0.397, 0.397)
Sn (0.103, 0.603, 0.897)
Sn (0.603, 0.897, 0.103)
Ti (0.536, 0.464, 0.964)
Ti (0.464, 0.964, 0.536)
Ti (0.964, 0.536, 0.464)
Ti (0.036, 0.036, 0.036)
As (0.859, 0.359, 0.141)
As (0.359, 0.141, 0.859)
As (0.641, 0.641, 0.641)
As (0.141, 0.859, 0.359)


DFT (PBE) results for TiSnAs after structural relaxation.

Values from the calculation:
The formation energy is -155 kJ/mol of formula units. Its space-group type is P4/nmm, No. 129. For the calculated volume, the calculation gives 124.5 Å³ per cell.

a = 3.574 Å, b = 3.574 Å, c = 9.747 Å
α = 90.00°, β = 90.00°, γ = 90.00°
Fractional coordinates of all 6 atoms:
As (0.500, 0.000, 0.836)
As (0.000, 0.500, 0.164)
Ti (0.500, 0.000, 0.107)
Ti (0.000, 0.500, 0.893)
Sn (0.000, 0.500, 0.595)
Sn (0.500, 0.000, 0.405)


DFT (PBE) results for TiSnAs2 after structural relaxation.

Values from the calculation:
The formation energy is -60 kJ/mol of formula units. Its space-group type is I-42d, No. 122. For the calculated volume, the calculation gives 226.3 Å³ per cell.

a = 6.125 Å, b = 6.125 Å, c = 7.427 Å
α = 65.65°, β = 65.65°, γ = 90.00°
Fractional coordinates of all 8 atoms:
As (0.875, 0.831, 0.750)
As (0.169, 0.625, 0.250)
As (0.375, 0.419, 0.750)
As (0.581, 0.125, 0.250)
Ti (0.250, 0.750, 0.500)
Ti (0.500, 0.500, 0.000)
Sn (0.000, 0.000, 0.000)
Sn (0.750, 0.250, 0.500)


DFT (PBE) results for TiSnAs after structural relaxation.

Values from the calculation:
The formation energy is -129 kJ/mol of formula units. Its space-group type is I4mm, No. 107. For the calculated volume, the calculation gives 117.7 Å³ per cell.

a = 3.427 Å, b = 3.427 Å, c = 10.024 Å
α = 90.00°, β = 90.00°, γ = 90.00°
Fractional coordinates of all 6 atoms:
Sn (0.000, 0.000, 0.348)
Sn (0.500, 0.500, 0.848)
Ti (0.000, 0.000, 0.653)
Ti (0.500, 0.500, 0.153)
As (0.000, 0.000, 0.058)
As (0.500, 0.500, 0.558)


no.,ρ (g cm⁻³),total magnetization (μB/f.u.)
1,9.24,0.0
2,5.87,0.0
3,6.14,0.0
4,8.56,0.0
5,8.48,0.0
6,8.53,0.0
7,6.24,2.8
8,5.83,0.0
9,5.82,0.0
10,5.82,0.0
11,9.18,0.0
12,8.98,0.0
13,9.27,0.0
14,7.07,0.0
15,9.26,0.0
16,6.11,0.0
17,6.17,0.0
18,4.74,0.0
19,6.24,0.0
20,5.67,0.0
21,6.44,0.0
22,4.64,0.0
23,6.81,0.0